[1]
Na3RuCl6 (GGA-PBE, relaxed); D(E_F) = 1.103 states/eV per atom; calculated total energy = -3.688 eV per atom; formation energy without anion corrections = -1256.9 meV/atom; crystal system = trigonal; energy above the lowest structure with this stoichiometry = 0.0 meV per atom; V = 25.02 Å³/atom
1.0
5.6451 3.2592 4.5336
-5.6451 3.2592 4.5336
0.0000 -6.5184 4.5336
Na Ru Cl
6 2 12
Direct
0.0697 0.7443 0.5844
0.2557 0.4156 0.9303
0.4156 0.9303 0.2557
0.5844 0.0697 0.7443
0.7443 0.5844 0.0697
0.9303 0.2557 0.4156
0.0000 0.0000 0.0000
0.5000 0.5000 0.5000
0.0463 0.7099 0.9341
0.0659 0.9537 0.2901
0.2168 0.4209 0.5667
0.2901 0.0659 0.9537
0.4209 0.5667 0.2168
0.4333 0.7832 0.5791
0.5667 0.2168 0.4209
0.5791 0.4333 0.7832
0.7099 0.9341 0.0463
0.7832 0.5791 0.4333
0.9341 0.0463 0.7099
0.9537 0.2901 0.0659


[2]
NaRuCl2 (GGA-PBE, relaxed); D(E_F) = 0.344 states/eV per atom; calculated total energy = -3.753 eV per atom; formation energy without anion corrections = -181.4 meV/atom; crystal system = trigonal; energy above the lowest structure with this stoichiometry = 152.3 meV per atom; V = 24.26 Å³/atom
1.0
1.8419 1.0634 8.2577
-1.8419 1.0634 8.2577
0.0000 -2.1268 8.2577
Na Ru Cl
1 1 2
Direct
0.0000 0.0000 0.0000
0.5000 0.5000 0.5000
0.1179 0.1179 0.1179
0.8821 0.8821 0.8821


[3]
Na3RuCl (GGA-PBE, relaxed); D(E_F) = 2.382 states/eV per atom; calculated total energy = -2.751 eV per atom; formation energy without anion corrections = 264.6 meV/atom; crystal system = cubic; energy above the lowest structure with this stoichiometry = 0.0 meV per atom; V = 28.26 Å³/atom
1.0
5.2083 0.0000 0.0000
0.0000 5.2083 0.0000
0.0000 0.0000 5.2083
Na Ru Cl
3 1 1
Direct
0.0000 0.0000 0.5000
0.0000 0.5000 0.0000
0.5000 0.0000 0.0000
0.5000 0.5000 0.5000
0.0000 0.0000 0.0000


[4]
NaRuCl2 (GGA-PBE, relaxed); D(E_F) = 0.000 states/eV per atom; calculated total energy = -3.779 eV per atom; formation energy without anion corrections = -207.2 meV/atom; crystal system = cubic; energy above the lowest structure with this stoichiometry = 126.6 meV per atom; V = 18.84 Å³/atom
1.0
0.0000 3.3524 3.3524
3.3524 0.0000 3.3524
3.3524 3.3524 0.0000
Na Ru Cl
1 1 2
Direct
0.0000 0.0000 0.0000
0.5000 0.5000 0.5000
0.2500 0.2500 0.2500
0.7500 0.7500 0.7500